Entry 1:
Here is a relaxed Cd3CuB crystal from the Alexandria database. Energies are from PBE.

Summary:
magnetic moment = 0.00 μB per cell
VASP energy = -0.1555 Ry/atom
offset from the most stable computed form = 0.00 kcal/mol of atoms
formation enthalpy at 0 K = 0.588 eV per atom
space-group type = Pm-3m, No. 221

a = 4.5758 Å, b = 4.5758 Å, c = 4.5758 Å
α = 90.00°, β = 90.00°, γ = 90.00°
Last column: nearest neighbours and their distance in Å.
Sites, in units of the cell vectors:
Cd: 0.0000 0.0000 0.5000  2 B 2.29
Cd: 0.0000 0.5000 0.0000  2 B 2.29
Cd: 0.5000 0.0000 0.0000  2 B 2.29
Cu: 0.5000 0.5000 0.5000  12 Cd 3.24
B: 0.0000 0.0000 0.0000  6 Cd 2.29



Entry 2:
Here is a relaxed CrGeMoRu crystal from the Alexandria database. Energies are from PBE.

Summary:
magnetic moment = 3.62 μB per cell
VASP energy = -0.6312 Ry/atom
formation enthalpy at 0 K = -0.001 eV per atom
space-group type = F-43m, No. 216

a = 6.0768 Å, b = 6.0768 Å, c = 6.0768 Å
α = 90.00°, β = 90.00°, γ = 90.00°
Last column: nearest neighbours and their distance in Å.
Sites, in units of the cell vectors:
Cr: 0.0000 0.0000 0.0000  4 Ru 2.63, 4 Mo 2.63
Cr: 0.0000 0.5000 0.5000  4 Ru 2.63, 4 Mo 2.63
Cr: 0.5000 0.0000 0.5000  4 Ru 2.63, 4 Mo 2.63
Cr: 0.5000 0.5000 0.0000  4 Ru 2.63, 4 Mo 2.63
Ge: 0.0000 0.0000 0.5000  4 Mo 2.63, 4 Ru 2.63
Ge: 0.0000 0.5000 0.0000  4 Mo 2.63, 4 Ru 2.63
Ge: 0.5000 0.0000 0.0000  4 Mo 2.63, 4 Ru 2.63
Ge: 0.5000 0.5000 0.5000  4 Mo 2.63, 4 Ru 2.63
Mo: 0.2500 0.2500 0.2500  4 Ge 2.63, 4 Cr 2.63
Mo: 0.2500 0.7500 0.7500  4 Ge 2.63, 4 Cr 2.63
Mo: 0.7500 0.2500 0.7500  4 Ge 2.63, 4 Cr 2.63
Mo: 0.7500 0.7500 0.2500  4 Ge 2.63, 4 Cr 2.63
Ru: 0.2500 0.2500 0.7500  4 Ge 2.63, 4 Cr 2.63
Ru: 0.2500 0.7500 0.2500  4 Ge 2.63, 4 Cr 2.63
Ru: 0.7500 0.2500 0.2500  4 Ge 2.63, 4 Cr 2.63
Ru: 0.7500 0.7500 0.7500  4 Cr 2.63, 4 Ge 2.63